Material: TbTmNi2P2
Method: DFT, PBE
State: optimized geometry

Properties
The space group is P-3m1, No. 164. The value obtained for the magnetization is 0.00 μB per cell. The raw total energy comes out at -38.80 eV/cell. The formation energy from the elements comes out at -7.31 eV per formula unit. The calculated volume comes out at 101 Å³/cell.

a = 3.8765 Å, b = 3.8765 Å, c = 7.7297 Å
α = 90.00°, β = 90.00°, γ = 120.00°
Element x y z (fractional)
Tb  0.0000  0.0000  0.0000
Tm  0.0000  0.0000  0.5000
Ni  0.3333  0.6667  0.7455
Ni  0.6667  0.3333  0.2545
P  0.3333  0.6667  0.2544
P  0.6667  0.3333  0.7456

***

Material: TbYNi2P2
Method: DFT, PBE
State: optimized geometry

Properties
The space group is P-3m1, No. 164. The value obtained for the magnetization is 0.00 μB per cell. The raw total energy comes out at -40.80 eV/cell. The formation energy from the elements comes out at -7.33 eV per formula unit. The calculated volume comes out at 103 Å³/cell.

a = 3.8891 Å, b = 3.8891 Å, c = 7.8305 Å
α = 90.00°, β = 90.00°, γ = 120.00°
Element x y z (fractional)
Tb  0.0000  0.0000  0.0000
Y  0.0000  0.0000  0.5000
Ni  0.3333  0.6667  0.7505
Ni  0.6667  0.3333  0.2495
P  0.3333  0.6667  0.2508
P  0.6667  0.3333  0.7492

***

Material: Tb2ZnNi4P3
Method: DFT, PBE
State: optimized geometry

Properties
The space group is P-4m2, No. 115. The value obtained for the magnetization is 0.00 μB per cell. The raw total energy comes out at -58.99 eV/cell. The formation energy from the elements comes out at -9.10 eV per formula unit. The calculated volume comes out at 146 Å³/cell.

a = 3.9079 Å, b = 3.9079 Å, c = 9.5667 Å
α = 90.00°, β = 90.00°, γ = 90.00°
Element x y z (fractional)
Tb  0.0000  0.5000  0.2434
Tb  0.5000  0.0000  0.7566
Zn  0.0000  0.0000  0.5000
Ni  0.0000  0.0000  0.0000
Ni  0.0000  0.5000  0.6366
Ni  0.5000  0.0000  0.3634
Ni  0.5000  0.5000  0.0000
P  0.0000  0.5000  0.8684
P  0.5000  0.0000  0.1316
P  0.5000  0.5000  0.5000

***

Material: Tc2NiP
Method: DFT, PBE
State: optimized geometry

Properties
The space group is Cmmm, No. 65. The value obtained for the magnetization is 0.00 μB per cell. The raw total energy comes out at -61.93 eV/cell. The formation energy from the elements comes out at 0.96 eV per formula unit. The calculated volume comes out at 108 Å³/cell.

a = 2.9456 Å, b = 4.6474 Å, c = 7.9068 Å
α = 90.00°, β = 90.00°, γ = 90.00°
Element x y z (fractional)
Tc  0.0000  0.0000  0.2324
Tc  0.0000  0.0000  0.7676
Tc  0.5000  0.5000  0.2324
Tc  0.5000  0.5000  0.7676
Ni  0.0000  0.5000  0.5000
Ni  0.5000  0.0000  0.5000
P  0.0000  0.5000  0.0000
P  0.5000  0.0000  0.0000

***

Material: Tc2NiP
Method: DFT, PBE
State: optimized geometry

Properties
The space group is Amm2, No. 38. The value obtained for the magnetization is 0.00 μB per cell. The raw total energy comes out at -65.30 eV/cell. The formation energy from the elements comes out at -0.73 eV per formula unit. The calculated volume comes out at 103 Å³/cell.

a = 3.8614 Å, b = 2.8411 Å, c = 9.3805 Å
α = 90.00°, β = 90.00°, γ = 90.00°
Element x y z (fractional)
Tc  0.0000  0.0000  0.0000
Tc  0.0000  0.5000  0.5000
Tc  0.5000  0.0000  0.3614
Tc  0.5000  0.5000  0.8614
Ni  0.5000  0.0000  0.6277
Ni  0.5000  0.5000  0.1277
P  0.0000  0.0000  0.7440
P  0.0000  0.5000  0.2440

***

Material: Tc2NiP
Method: DFT, PBE
State: optimized geometry

Properties
The space group is R3m, No. 160. The value obtained for the magnetization is 0.00 μB per cell. The raw total energy comes out at -96.19 eV/cell. The formation energy from the elements comes out at -0.14 eV per formula unit. The calculated volume comes out at 159 Å³/cell.

a = 2.7652 Å, b = 2.7652 Å, c = 23.9526 Å
α = 90.00°, β = 90.00°, γ = 120.00°
Element x y z (fractional)
Tc  0.0000  0.0000  0.0000
Tc  0.0000  0.0000  0.2439
Tc  0.3333  0.6667  0.6667
Tc  0.3333  0.6667  0.9105
Tc  0.6667  0.3333  0.3333
Tc  0.6667  0.3333  0.5772
Ni  0.0000  0.0000  0.4858
Ni  0.3333  0.6667  0.1524
Ni  0.6667  0.3333  0.8191
P  0.0000  0.0000  0.7489
P  0.3333  0.6667  0.4156
P  0.6667  0.3333  0.0823

***

Material: Tc4NiP
Method: DFT, PBE
State: optimized geometry

Properties
The space group is F-43m, No. 216. The value obtained for the magnetization is 0.00 μB per cell. The raw total energy comes out at -48.26 eV/cell. The formation energy from the elements comes out at 4.39 eV per formula unit. The calculated volume comes out at 92 Å³/cell.

a = 5.0637 Å, b = 5.0637 Å, c = 5.0637 Å
α = 60.00°, β = 60.00°, γ = 60.00°
Element x y z (fractional)
Tc  0.1244  0.1244  0.1244
Tc  0.1244  0.1244  0.6268
Tc  0.1244  0.6268  0.1244
Tc  0.6268  0.1244  0.1244
Ni  0.7500  0.7500  0.7500
P  0.5000  0.5000  0.5000

***

Material: Tc2NiP
Method: DFT, PBE
State: optimized geometry

Properties
The space group is I-4m2, No. 119. The value obtained for the magnetization is 0.00 μB per cell. The raw total energy comes out at -64.27 eV/cell. The formation energy from the elements comes out at -0.21 eV per formula unit. The calculated volume comes out at 103 Å³/cell.

a = 3.7004 Å, b = 3.7004 Å, c = 7.4920 Å
α = 90.00°, β = 90.00°, γ = 90.00°
Element x y z (fractional)
Tc  0.0000  0.0000  0.0000
Tc  0.0000  0.5000  0.2500
Tc  0.5000  0.0000  0.7500
Tc  0.5000  0.5000  0.5000
Ni  0.0000  0.5000  0.7500
Ni  0.5000  0.0000  0.2500
P  0.0000  0.0000  0.5000
P  0.5000  0.5000  0.0000

***

Material: Tc2NiP
Method: DFT, PBE
State: optimized geometry

Properties
The space group is I-42d, No. 122. The value obtained for the magnetization is 3.05 μB per cell. The raw total energy comes out at -115.72 eV/cell. The formation energy from the elements comes out at 2.99 eV per formula unit. The calculated volume comes out at 292 Å³/cell.

a = 5.4191 Å, b = 5.4191 Å, c = 9.9346 Å
α = 90.00°, β = 90.00°, γ = 90.00°
Element x y z (fractional)
Tc  0.2466  0.2500  0.1250
Tc  0.2500  0.7466  0.3750
Tc  0.2500  0.7534  0.8750
Tc  0.2534  0.2500  0.6250
Tc  0.7466  0.7500  0.6250
Tc  0.7500  0.2466  0.8750
Tc  0.7500  0.2534  0.3750
Tc  0.7534  0.7500  0.1250
Ni  0.0000  0.0000  0.5000
Ni  0.0000  0.5000  0.7500
Ni  0.5000  0.0000  0.2500
Ni  0.5000  0.5000  0.0000
P  0.0000  0.0000  0.0000
P  0.0000  0.5000  0.2500
P  0.5000  0.0000  0.7500
P  0.5000  0.5000  0.5000

***

Material: TcNiP6
Method: DFT, PBE
State: optimized geometry

Properties
The space group is C2/m, No. 12. The value obtained for the magnetization is 0.00 μB per cell. The raw total energy comes out at -101.63 eV/cell. The formation energy from the elements comes out at -2.21 eV per formula unit. The calculated volume comes out at 255 Å³/cell.

a = 6.8717 Å, b = 6.8717 Å, c = 8.0101 Å
α = 124.73°, β = 124.73°, γ = 70.78°
Element x y z (fractional)
Tc  0.0000  0.5000  0.0000
Tc  0.5000  0.0000  0.0000
Ni  0.0000  0.5000  0.5000
Ni  0.5000  0.0000  0.5000
P  0.0006  0.2860  0.6407
P  0.1414  0.8516  0.8553
P  0.1484  0.8586  0.1447
P  0.2860  0.0006  0.6407
P  0.3547  0.3547  0.5024
P  0.3618  0.3618  0.2210
P  0.6382  0.6382  0.7790
P  0.6453  0.6453  0.4976
P  0.7140  0.9994  0.3593
P  0.8516  0.1414  0.8553
P  0.8586  0.1484  0.1447
P  0.9994  0.7140  0.3593

***

Material: Tc2NiP
Method: DFT, PBE
State: optimized geometry

Properties
The space group is R-3m, No. 166. The value obtained for the magnetization is 0.01 μB per cell. The raw total energy comes out at -95.83 eV/cell. The formation energy from the elements comes out at -0.02 eV per formula unit. The calculated volume comes out at 159 Å³/cell.

a = 2.7816 Å, b = 2.7816 Å, c = 23.6986 Å
α = 90.00°, β = 90.00°, γ = 120.00°
Element x y z (fractional)
Tc  0.0000  0.0000  0.2454
Tc  0.0000  0.0000  0.7546
Tc  0.3333  0.6667  0.4213
Tc  0.3333  0.6667  0.9121
Tc  0.6667  0.3333  0.0879
Tc  0.6667  0.3333  0.5787
Ni  0.0000  0.0000  0.0000
Ni  0.3333  0.6667  0.6667
Ni  0.6667  0.3333  0.3333
P  0.0000  0.0000  0.5000
P  0.3333  0.6667  0.1667
P  0.6667  0.3333  0.8333

***

Material: Tc2NiP
Method: DFT, PBE
State: optimized geometry

Properties
The space group is Immm, No. 71. The value obtained for the magnetization is 0.00 μB per cell. The raw total energy comes out at -64.74 eV/cell. The formation energy from the elements comes out at -0.45 eV per formula unit. The calculated volume comes out at 107 Å³/cell.

a = 2.9304 Å, b = 4.1998 Å, c = 8.6848 Å
α = 90.00°, β = 90.00°, γ = 90.00°
Element x y z (fractional)
Tc  0.0000  0.0000  0.2099
Tc  0.0000  0.0000  0.7901
Tc  0.5000  0.5000  0.2901
Tc  0.5000  0.5000  0.7099
Ni  0.0000  0.5000  0.0000
Ni  0.5000  0.0000  0.5000
P  0.0000  0.5000  0.5000
P  0.5000  0.0000  0.0000

***

Material: TcNi4P
Method: DFT, PBE
State: optimized geometry

Properties
The space group is F-43m, No. 216. The value obtained for the magnetization is 3.81 μB per cell. The raw total energy comes out at -37.17 eV/cell. The formation energy from the elements comes out at 1.73 eV per formula unit. The calculated volume comes out at 73 Å³/cell.

a = 4.6832 Å, b = 4.6832 Å, c = 4.6832 Å
α = 60.00°, β = 60.00°, γ = 60.00°
Element x y z (fractional)
Tc  0.0000  0.0000  0.0000
Ni  0.1243  0.6252  0.6252
Ni  0.6252  0.1243  0.6252
Ni  0.6252  0.6252  0.1243
Ni  0.6252  0.6252  0.6252
P  0.2500  0.2500  0.2500

***

Material: Tc3NiP3
Method: DFT, PBE
State: optimized geometry

Properties
The space group is Pnma, No. 62. The value obtained for the magnetization is 0.00 μB per cell. The raw total energy comes out at -224.98 eV/cell. The formation energy from the elements comes out at -3.14 eV per formula unit. The calculated volume comes out at 380 Å³/cell.

a = 10.4620 Å, b = 3.4490 Å, c = 10.5201 Å
α = 90.00°, β = 90.00°, γ = 90.00°
Element x y z (fractional)
Tc  0.0612  0.2500  0.1031
Tc  0.2022  0.7500  0.4652
Tc  0.2080  0.7500  0.7501
Tc  0.2920  0.2500  0.2501
Tc  0.2978  0.2500  0.9652
Tc  0.4388  0.7500  0.6031
Tc  0.5612  0.2500  0.3969
Tc  0.7022  0.7500  0.0348
Tc  0.7080  0.7500  0.7499
Tc  0.7920  0.2500  0.2499
Tc  0.7978  0.2500  0.5348
Tc  0.9388  0.7500  0.8969
Ni  0.0468  0.2500  0.6034
Ni  0.4532  0.7500  0.1034
Ni  0.5468  0.2500  0.8966
Ni  0.9532  0.7500  0.3966
P  0.0794  0.2500  0.3426
P  0.0988  0.2500  0.8750
P  0.2298  0.7500  0.1064
P  0.2702  0.2500  0.6064
P  0.4012  0.7500  0.3750
P  0.4206  0.7500  0.8426
P  0.5794  0.2500  0.1574
P  0.5988  0.2500  0.6250
P  0.7298  0.7500  0.3936
P  0.7702  0.2500  0.8936
P  0.9012  0.7500  0.1250
P  0.9206  0.7500  0.6574

***

Material: Tc2NiP
Method: DFT, PBE
State: optimized geometry

Properties
The space group is P4/mmm, No. 123. The value obtained for the magnetization is 0.00 μB per cell. The raw total energy comes out at -32.72 eV/cell. The formation energy from the elements comes out at -0.79 eV per formula unit. The calculated volume comes out at 50 Å³/cell.

a = 4.1830 Å, b = 4.1830 Å, c = 2.8836 Å
α = 90.00°, β = 90.00°, γ = 90.00°
Element x y z (fractional)
Tc  0.0000  0.5000  0.0000
Tc  0.5000  0.0000  0.0000
Ni  0.0000  0.0000  0.5000
P  0.5000  0.5000  0.5000

***

Material: Tc2NiP
Method: DFT, PBE
State: optimized geometry

Properties
The space group is F-43m, No. 216. The value obtained for the magnetization is 0.00 μB per cell. The raw total energy comes out at -124.97 eV/cell. The formation energy from the elements comes out at 0.68 eV per formula unit. The calculated volume comes out at 210 Å³/cell.

a = 5.9441 Å, b = 5.9441 Å, c = 5.9441 Å
α = 90.00°, β = 90.00°, γ = 90.00°
Element x y z (fractional)
Tc  0.0000  0.0000  0.0000
Tc  0.0000  0.5000  0.5000
Tc  0.2500  0.2500  0.2500
Tc  0.2500  0.7500  0.7500
Tc  0.5000  0.0000  0.5000
Tc  0.5000  0.5000  0.0000
Tc  0.7500  0.2500  0.7500
Tc  0.7500  0.7500  0.2500
Ni  0.0000  0.0000  0.5000
Ni  0.0000  0.5000  0.0000
Ni  0.5000  0.0000  0.0000
Ni  0.5000  0.5000  0.5000
P  0.2500  0.2500  0.7500
P  0.2500  0.7500  0.2500
P  0.7500  0.2500  0.2500
P  0.7500  0.7500  0.7500

***

Material: Tc2NiP
Method: DFT, PBE
State: optimized geometry

Properties
The space group is P2/m, No. 10. The value obtained for the magnetization is 0.00 μB per cell. The raw total energy comes out at -32.27 eV/cell. The formation energy from the elements comes out at -0.34 eV per formula unit. The calculated volume comes out at 53 Å³/cell.

a = 2.8381 Å, b = 3.6950 Å, c = 5.1777 Å
α = 90.00°, β = 102.41°, γ = 90.00°
Element x y z (fractional)
Tc  0.1361  0.0000  0.2586
Tc  0.8639  0.0000  0.7414
Ni  0.5000  0.5000  0.0000
P  0.5000  0.5000  0.5000

***

Material: Tc3NiP
Method: DFT, PBE
State: optimized geometry

Properties
The space group is Pm-3m, No. 221. The value obtained for the magnetization is 3.75 μB per cell. The value obtained for the energy above the most stable polymorph in this dataset is 895 meV per atom. The raw total energy comes out at -34.21 eV/cell. The formation energy from the elements comes out at 8.08 eV per formula unit. The calculated volume comes out at 87 Å³/cell.

a = 4.4259 Å, b = 4.4259 Å, c = 4.4259 Å
α = 90.00°, β = 90.00°, γ = 90.00°
Element x y z (fractional)
Tc  0.0000  0.0000  0.5000
Tc  0.0000  0.5000  0.0000
Tc  0.5000  0.0000  0.0000
Ni  0.0000  0.0000  0.0000
P  0.5000  0.5000  0.5000

***

Material: TcNi3P
Method: DFT, PBE
State: optimized geometry

Properties
The space group is Pm-3m, No. 221. The value obtained for the magnetization is 4.10 μB per cell. The value obtained for the energy above the most stable polymorph in this dataset is 0 meV per atom. The raw total energy comes out at -30.95 eV/cell. The formation energy from the elements comes out at 2.17 eV per formula unit. The calculated volume comes out at 71 Å³/cell.

a = 4.1452 Å, b = 4.1452 Å, c = 4.1452 Å
α = 90.00°, β = 90.00°, γ = 90.00°
Element x y z (fractional)
Tc  0.0000  0.0000  0.0000
Ni  0.0000  0.5000  0.5000
Ni  0.5000  0.0000  0.5000
Ni  0.5000  0.5000  0.0000
P  0.5000  0.5000  0.5000

***

Material: Tc2NiP
Method: DFT, PBE
State: optimized geometry

Properties
The space group is Cmm2, No. 35. The value obtained for the magnetization is 0.00 μB per cell. The raw total energy comes out at -62.32 eV/cell. The formation energy from the elements comes out at 0.76 eV per formula unit. The calculated volume comes out at 107 Å³/cell.

a = 3.0999 Å, b = 4.4633 Å, c = 7.7301 Å
α = 90.00°, β = 90.00°, γ = 90.00°
Element x y z (fractional)
Tc  0.0000  0.0000  0.0000
Tc  0.0000  0.5000  0.2825
Tc  0.5000  0.0000  0.2825
Tc  0.5000  0.5000  0.0000
Ni  0.0000  0.0000  0.5614
Ni  0.5000  0.5000  0.5614
P  0.0000  0.5000  0.7648
P  0.5000  0.0000  0.7648